A.
{
  "formula": "Mg2VWO6",
  "functional": "GGA-PBEsol",
  "state": "relaxed",
  "density_g_cm3": 6.23,
  "lattice_angstrom": [[-0.148, 2.660, 4.361], [-5.287, 0.245, -0.329], [-0.534, -6.383, 3.824]],
  "species": ["Mg", "Mg", "Mg", "Mg", "V", "V", "W", "W", "O", "O", "O", "O", "O", "O", "O", "O", "O", "O", "O", "O"],
  "fractional_positions": [[0.990, 0.943, 0.255], [0.510, 0.443, 0.245], [0.010, 0.057, 0.745], [0.490, 0.557, 0.755], [0.500, 0.000, 0.000], [0.000, 0.500, 0.500], [0.500, 0.000, 0.500], [0.000, 0.500, 0.000], [0.678, 0.691, 0.429], [0.822, 0.191, 0.071], [0.322, 0.309, 0.571], [0.178, 0.809, 0.929], [0.183, 0.816, 0.561], [0.317, 0.316, 0.939], [0.817, 0.184, 0.439], [0.683, 0.684, 0.061], [0.129, 0.560, 0.247], [0.371, 0.060, 0.253], [0.629, 0.940, 0.747], [0.871, 0.440, 0.753]]
}

***

B.
{
  "formula": "Mg2VWO6",
  "functional": "GGA-PBEsol",
  "state": "relaxed",
  "density_g_cm3": 6.05,
  "lattice_angstrom": [[5.117, 0.026, 0.002], [2.536, 4.444, 0.012], [2.550, 1.479, 4.594]],
  "species": ["Mg", "Mg", "V", "W", "O", "O", "O", "O", "O", "O"],
  "fractional_positions": [[0.770, 0.794, 0.643], [0.269, 0.293, 0.145], [0.476, 0.500, 0.524], [0.975, 0.999, 0.027], [0.197, 0.882, 0.301], [0.706, 0.114, 0.807], [0.349, 0.729, 0.808], [0.090, 0.373, 0.808], [0.858, 0.620, 0.301], [0.596, 0.221, 0.301]]
}

***

Most stable: B

***

A.
{
  "formula": "MgPOs2",
  "functional": "GGA-PBEsol",
  "state": "relaxed",
  "density_g_cm3": 13.78,
  "lattice_angstrom": [[-0.441, -1.239, 2.705], [-2.242, -3.052, -1.763], [3.471, -2.275, -0.476]],
  "species": ["Mg", "Os", "Os", "P"],
  "fractional_positions": [[0.500, 0.000, 0.000], [0.000, 0.000, 0.500], [0.000, 0.500, 0.000], [0.500, 0.500, 0.500]]
}

***

B.
{
  "formula": "MgPOs2",
  "functional": "GGA-PBEsol",
  "state": "relaxed",
  "density_g_cm3": 12.46,
  "lattice_angstrom": [[2.844, 0.000, 0.000], [1.422, 2.463, 0.000], [1.422, 0.821, 8.288]],
  "species": ["Mg", "Os", "Os", "P"],
  "fractional_positions": [[0.249, 0.249, 0.254], [0.003, 0.003, 0.991], [0.756, 0.756, 0.732], [0.492, 0.492, 0.523]]
}

***

C.
{
  "formula": "MgPOs2",
  "functional": "GGA-PBEsol",
  "state": "relaxed",
  "density_g_cm3": 12.44,
  "lattice_angstrom": [[2.863, 0.000, 0.000], [0.000, 4.836, 0.036], [-1.432, -2.019, 4.185]],
  "species": ["Mg", "Os", "Os", "P"],
  "fractional_positions": [[0.270, 0.828, 0.541], [0.018, 0.888, 0.036], [0.737, 0.318, 0.473], [0.475, 0.466, 0.951]]
}

***

Most stable: B

***

A.
{
  "formula": "MgOsPt",
  "functional": "GGA-PBEsol",
  "state": "relaxed",
  "density_g_cm3": 15.18,
  "lattice_angstrom": [[2.693, 0.000, 0.000], [0.000, 4.029, 0.000], [-1.346, -2.014, 4.132]],
  "species": ["Mg", "Os", "Pt"],
  "fractional_positions": [[0.000, 0.000, 0.999], [0.667, 0.667, 0.335], [0.333, 0.333, 0.666]]
}

***

B.
{
  "formula": "MgOsPt",
  "functional": "GGA-PBEsol",
  "state": "relaxed",
  "density_g_cm3": 15.17,
  "lattice_angstrom": [[-1.679, -2.044, -0.815], [1.697, -0.378, 2.154], [-4.799, 2.276, 4.178]],
  "species": ["Mg", "Os", "Pt"],
  "fractional_positions": [[0.000, 0.000, 0.002], [0.333, 0.667, 0.664], [0.667, 0.333, 0.334]]
}

***

Most stable: B

***

A.
{
  "formula": "Mg2TaOs",
  "functional": "GGA-PBEsol",
  "state": "relaxed",
  "density_g_cm3": 10.48,
  "lattice_angstrom": [[-1.266, 1.514, 1.853], [2.533, -3.609, 2.971], [3.140, 3.899, -2.164]],
  "species": ["Mg", "Mg", "Os", "Ta"],
  "fractional_positions": [[0.500, 0.500, 0.500], [0.000, 0.000, 0.500], [0.000, 0.500, 0.000], [0.500, 0.000, 0.000]]
}

***

B.
{
  "formula": "Mg2TaOs",
  "functional": "GGA-PBEsol",
  "state": "relaxed",
  "density_g_cm3": 10.51,
  "lattice_angstrom": [[-2.635, -0.378, 0.668], [0.836, -4.517, 0.744], [2.312, 1.196, 4.663]],
  "species": ["Mg", "Mg", "Os", "Ta"],
  "fractional_positions": [[0.696, 0.000, 0.761], [0.304, 0.000, 0.239], [0.500, 0.500, 0.000], [0.000, 0.500, 0.500]]
}

***

Most stable: B

***

A.
{
  "formula": "Mg2TlOs",
  "functional": "GGA-PBEsol",
  "state": "relaxed",
  "density_g_cm3": 10.16,
  "lattice_angstrom": [[-2.195, -2.237, -1.468], [-0.466, -1.549, 3.057], [-4.607, 3.738, 1.192]],
  "species": ["Mg", "Mg", "Os", "Tl"],
  "fractional_positions": [[0.000, 0.000, 0.006], [0.500, 0.500, 0.278], [0.000, 0.000, 0.479], [0.500, 0.500, 0.736]]
}

***

B.
{
  "formula": "Mg2TlOs",
  "functional": "GGA-PBEsol",
  "state": "relaxed",
  "density_g_cm3": 10.51,
  "lattice_angstrom": [[4.039, 0.000, 0.000], [0.000, 4.039, 0.000], [-2.019, -2.019, 4.291]],
  "species": ["Mg", "Mg", "Os", "Tl"],
  "fractional_positions": [[0.000, 0.000, 0.000], [0.750, 0.250, 0.500], [0.500, 0.500, 0.000], [0.250, 0.750, 0.500]]
}

***

Most stable: B

***

A.
{
  "formula": "MgZnOs",
  "functional": "GGA-PBEsol",
  "state": "relaxed",
  "density_g_cm3": 10.29,
  "lattice_angstrom": [[-0.131, -2.275, 1.493], [2.463, 1.165, 0.020], [-2.901, 4.136, 4.548]],
  "species": ["Mg", "Os", "Zn"],
  "fractional_positions": [[0.003, 0.003, 0.006], [0.669, 0.669, 0.338], [0.328, 0.328, 0.656]]
}

***

B.
{
  "formula": "MgZnOs",
  "functional": "GGA-PBEsol",
  "state": "relaxed",
  "density_g_cm3": 9.09,
  "lattice_angstrom": [[4.167, 0.000, 0.000], [2.083, 3.609, 0.000], [2.083, 1.203, 3.402]],
  "species": ["Mg", "Os", "Zn"],
  "fractional_positions": [[0.250, 0.250, 0.250], [0.000, 0.000, 0.000], [0.500, 0.500, 0.500]]
}

***

Most stable: A

***

A.
{
  "formula": "Mg2ZrOs",
  "functional": "GGA-PBEsol",
  "state": "relaxed",
  "density_g_cm3": 7.69,
  "lattice_angstrom": [[3.894, 0.000, 0.000], [0.000, 3.894, 0.000], [0.000, 0.000, 4.701]],
  "species": ["Mg", "Mg", "Os", "Zr"],
  "fractional_positions": [[0.000, 0.500, 0.000], [0.500, 0.000, 0.000], [0.500, 0.500, 0.500], [0.000, 0.000, 0.500]]
}

***

B.
{
  "formula": "Mg2ZrOs",
  "functional": "GGA-PBEsol",
  "state": "relaxed",
  "density_g_cm3": 7.74,
  "lattice_angstrom": [[-0.228, -1.938, 2.032], [0.947, -3.374, -3.112], [5.344, 1.408, 0.100]],
  "species": ["Mg", "Mg", "Os", "Zr"],
  "fractional_positions": [[0.082, 0.000, 0.769], [0.918, 0.000, 0.231], [0.500, 0.500, 0.000], [0.500, 0.500, 0.500]]
}

***

Most stable: A

***

A.
{
  "formula": "MgPPb2",
  "functional": "GGA-PBEsol",
  "state": "relaxed",
  "density_g_cm3": 8.18,
  "lattice_angstrom": [[-2.119, -0.406, 3.251], [2.763, -3.937, 1.309], [2.585, 3.684, 2.145]],
  "species": ["Mg", "P", "Pb", "Pb"],
  "fractional_positions": [[0.500, 0.000, 0.000], [0.500, 0.500, 0.500], [0.000, 0.000, 0.500], [0.000, 0.500, 0.000]]
}

***

B.
{
  "formula": "MgPPb2",
  "functional": "GGA-PBEsol",
  "state": "relaxed",
  "density_g_cm3": 8.11,
  "lattice_angstrom": [[-3.857, -2.144, -2.641], [-0.332, -5.119, -0.368], [-3.730, -2.520, 2.487]],
  "species": ["Mg", "P", "Pb", "Pb"],
  "fractional_positions": [[0.500, 0.500, 0.500], [0.250, 0.250, 0.250], [0.000, 0.000, 0.000], [0.750, 0.750, 0.750]]
}

***

Most stable: A

***

A.
{
  "formula": "MgSbP2",
  "functional": "GGA-PBEsol",
  "state": "relaxed",
  "density_g_cm3": 4.69,
  "lattice_angstrom": [[-0.752, 1.604, 2.840], [-2.578, -3.664, 1.388], [3.774, -1.875, 2.058]],
  "species": ["Sb", "Mg", "P", "P"],
  "fractional_positions": [[0.500, 0.500, 0.500], [0.500, 0.000, 0.000], [0.000, 0.000, 0.500], [0.000, 0.500, 0.000]]
}

***

B.
{
  "formula": "MgSbP2",
  "functional": "GGA-PBEsol",
  "state": "relaxed",
  "density_g_cm3": 4.60,
  "lattice_angstrom": [[4.735, 0.000, 0.000], [2.367, 4.100, 0.000], [2.367, 1.367, 3.866]],
  "species": ["Sb", "Mg", "P", "P"],
  "fractional_positions": [[0.500, 0.500, 0.500], [0.000, 0.000, 0.000], [0.250, 0.250, 0.250], [0.750, 0.750, 0.750]]
}

***

Most stable: A

***

A.
{
  "formula": "Mg2SbP",
  "functional": "GGA-PBEsol",
  "state": "relaxed",
  "density_g_cm3": 3.90,
  "lattice_angstrom": [[-1.011, -0.326, 3.742], [-1.958, -3.459, -0.830], [6.010, -0.944, -0.479]],
  "species": ["Mg", "Mg", "P", "Sb"],
  "fractional_positions": [[0.000, 0.865, 0.000], [0.716, 0.338, 0.431], [0.501, 0.388, 0.001], [0.284, 0.909, 0.568]]
}

***

B.
{
  "formula": "Mg2SbP",
  "functional": "GGA-PBEsol",
  "state": "relaxed",
  "density_g_cm3": 4.06,
  "lattice_angstrom": [[-2.448, -2.831, 3.138], [2.297, -1.925, 3.857], [-0.992, 1.629, 4.497]],
  "species": ["Mg", "Mg", "P", "Sb"],
  "fractional_positions": [[0.000, 0.000, 0.000], [0.750, 0.750, 0.750], [0.500, 0.500, 0.500], [0.250, 0.250, 0.250]]
}

***

Most stable: A

***

A.
{
  "formula": "MgP2Se",
  "functional": "GGA-PBEsol",
  "state": "relaxed",
  "density_g_cm3": 3.62,
  "lattice_angstrom": [[-3.118, 0.147, 1.606], [0.913, -2.720, 2.022], [2.330, 3.882, 4.169]],
  "species": ["P", "P", "Mg", "Se"],
  "fractional_positions": [[0.000, 0.500, 0.000], [0.500, 0.000, 0.000], [0.000, 0.000, 0.500], [0.500, 0.500, 0.500]]
}

***

B.
{
  "formula": "MgP2Se",
  "functional": "GGA-PBEsol",
  "state": "relaxed",
  "density_g_cm3": 3.78,
  "lattice_angstrom": [[3.648, 0.000, 0.000], [0.000, 3.648, 0.000], [0.000, 0.000, 5.458]],
  "species": ["P", "P", "Mg", "Se"],
  "fractional_positions": [[0.000, 0.000, 0.154], [0.500, 0.500, 0.120], [0.500, 0.500, 0.644], [0.000, 0.000, 0.582]]
}

***

Most stable: B

***

A.
{
  "formula": "MgSiP2",
  "functional": "GGA-PBEsol",
  "state": "relaxed",
  "density_g_cm3": 2.28,
  "lattice_angstrom": [[6.330, 0.000, 0.000], [0.000, 6.536, 0.000], [0.000, 0.000, 8.060]],
  "species": ["Mg", "Mg", "Mg", "Mg", "P", "P", "P", "P", "P", "P", "P", "P", "Si", "Si", "Si", "Si"],
  "fractional_positions": [[0.999, 0.088, 0.381], [0.499, 0.912, 0.619], [0.999, 0.588, 0.119], [0.499, 0.412, 0.881], [0.638, 0.050, 0.892], [0.138, 0.950, 0.108], [0.638, 0.550, 0.608], [0.138, 0.450, 0.392], [0.599, 0.102, 0.354], [0.099, 0.898, 0.646], [0.599, 0.602, 0.146], [0.099, 0.398, 0.854], [0.994, 0.069, 0.874], [0.494, 0.931, 0.126], [0.994, 0.569, 0.626], [0.494, 0.431, 0.374]]
}

***

B.
{
  "formula": "MgSiP2",
  "functional": "GGA-PBEsol",
  "state": "relaxed",
  "density_g_cm3": 2.75,
  "lattice_angstrom": [[-3.319, 0.871, -1.445], [-1.729, -1.039, 3.346], [2.566, 4.270, 1.477]],
  "species": ["P", "P", "Si", "Mg"],
  "fractional_positions": [[0.987, 0.879, 0.974], [0.206, 0.793, 0.413], [0.528, 0.527, 0.056], [0.779, 0.301, 0.558]]
}

***

Most stable: A